1.
Entry from Alexandria: an optimized crystal structure of SrCeGa2Cl8 (GGA-PBE).

Cell lengths 6.8503, 6.6899, 8.7012 Å; angles 89.99, 90.01, 91.99 degrees
Site moments in Bohr magnetons follow the coordinates.
Fractional coordinates of all 12 atoms:
1 Cl 0.1580 0.7900 0.7695  0.00
2 Ga 0.5000 0.5000 0.2638  -0.01
3 Sr 0.0000 0.0000 0.5000  0.00
4 Cl 0.3023 0.2449 0.0000  -0.01
5 Cl 0.6977 0.7551 0.0000  -0.01
6 Cl 0.1580 0.7900 0.2305  0.00
7 Cl 0.8420 0.2100 0.7695  0.00
8 Ga 0.5000 0.5000 0.7362  -0.01
9 Ce 0.0000 0.0000 0.0000  0.17
10 Cl 0.6724 0.7158 0.5000  0.00
11 Cl 0.8420 0.2100 0.2305  0.00
12 Cl 0.3276 0.2842 0.5000  0.00

Values from the calculation:
Electronic total energy: -48.34 eV for the cell shown


2.
Entry from Alexandria: an optimized crystal structure of MnZnTeN2 (GGA-PBE).

Cell lengths 3.6913, 3.6913, 5.5935 Å; angles 90.00, 90.00, 90.00 degrees
Site moments in Bohr magnetons follow the coordinates.
Fractional coordinates of all 5 atoms:
1 N 0.5000 0.0000 0.0000  -0.02
2 Mn 0.0000 0.0000 0.0000  0.13
3 N 0.0000 0.5000 0.0000  -0.02
4 Te 0.0000 0.0000 0.5000  0.00
5 Zn 0.5000 0.5000 0.5000  0.00

Values from the calculation:
Electronic total energy: -27.31 eV for the cell shown
ΔE to the lowest computed polymorph: 0.000 eV/atom


The D(E_F) results, record by record, are as follows: 3.923, 4.263 states/eV per cell.
The ΔE_f (raw) results, record by record, are as follows: -19.9, 2.9 eV per formula unit.
The magnetization results, record by record, are as follows: 0.12, 0.10 μB per formula unit.